# RbBe2ReH (PBE, relaxed)
# **E_tot**: -15.35 eV/cell
data_RbBe2ReH
_chemical_formula_sum 'Rb1 Be2 Re1 H1'
_symmetry_space_group_name_H-M 'P 4/m m m'
_symmetry_Int_Tables_number 123
_symmetry_space_group_name_Hall '-P 4 2'
_cell_length_a 3.949
_cell_length_b 3.949
_cell_length_c 4.387
_cell_angle_alpha 90.00
_cell_angle_beta 90.00
_cell_angle_gamma 90.00
loop_
_atom_site_label
_atom_site_fract_x
_atom_site_fract_y
_atom_site_fract_z
_atom_site_occupancy
Rb1 0.000 0.000 0.000 1
Be1 0.000 0.500 0.500 1
Re1 0.500 0.500 0.000 1
H1 0.000 0.000 0.500 1